Entry 1:
VASP calculation (PBE) on crystalline Rb2GeAs2Pb at its relaxed geometry.

POSCAR file:
```
Rb2GeAs2Pb
1.0
6.716 0.000 0.000
0.000 8.126 0.000
-3.358 -4.063 7.459
Pb As Ge Rb
2 4 2 4
direct
0.750 0.000 0.000
0.250 0.000 0.000
0.082 0.778 0.165
0.918 0.222 0.835
0.582 0.387 0.165
0.418 0.613 0.835
0.250 0.500 0.000
0.750 0.500 0.000
0.678 0.890 0.356
0.322 0.110 0.644
0.822 0.534 0.644
0.178 0.466 0.356
```

---

Entry 2:
VASP calculation (PBE) on crystalline Sc2GeAsPb at its relaxed geometry.

POSCAR file:
```
Sc2GeAsPb
1.0
-1.018 1.426 5.177
-0.871 -4.925 1.186
5.289 -0.642 1.217
Pb Ge Sc As
1 1 2 1
direct
0.000 0.000 0.000
0.000 0.500 0.000
0.500 0.000 0.000
0.000 0.000 0.500
0.500 0.500 0.500
```

---

Entry 3:
GeAsPbSe2 | the Alexandria database | PBE | relaxed; ΔE_f (raw) = 0.93 eV/atom; polymorph energy (0 for the lowest one) = 0.622 eV per atom
1.0
5.780 0.000 0.000
0.000 5.780 0.000
0.000 0.000 5.652
As Se Pb Ge
1 2 1 1
direct
0.000 0.000 0.500
0.000 0.500 0.000
0.500 0.000 0.000
0.000 0.000 0.000
0.500 0.500 0.500

---

Entry 4:
GeAsPb2Se5 | the Alexandria database | PBE | relaxed; ΔE_f (raw) = -0.31 eV/atom
1.0
-2.345 2.598 2.513
-5.807 -7.001 -1.876
4.023 -6.008 9.966
Pb Ge Se As
4 2 10 2
direct
0.872 0.744 0.186
0.119 0.238 0.318
0.881 0.762 0.818
0.128 0.256 0.686
0.443 0.886 0.442
0.557 0.114 0.942
0.292 0.584 0.665
0.507 0.015 0.270
0.037 0.074 0.035
0.493 0.985 0.770
0.685 0.370 0.871
0.963 0.926 0.535
0.315 0.630 0.371
0.708 0.416 0.165
0.348 0.695 0.009
0.652 0.305 0.509
0.210 0.420 0.029
0.790 0.580 0.529

---

Entry 5:
GeAsPbSe2 | the Alexandria database | PBE | relaxed; ΔE_f (raw) = 0.31 eV/atom; polymorph energy (0 for the lowest one) = 0.000 eV per atom
1.0
5.402 0.000 0.000
0.000 5.402 0.000
0.000 0.000 5.210
Pb Se Ge As
1 2 1 1
direct
0.500 0.500 0.500
0.000 0.500 0.000
0.500 0.000 0.000
0.000 0.000 0.000
0.000 0.000 0.500

---

Entry 6:
Ge2AsPbSe | the Alexandria database | PBE | relaxed; ΔE_f (raw) = 0.44 eV/atom
1.0
-0.323 -3.319 -3.823
3.580 -2.994 2.297
-3.666 -2.489 2.470
Pb Ge Se As
1 2 1 1
direct
0.500 0.500 0.500
0.000 0.000 0.500
0.500 0.000 0.000
0.000 0.500 0.000
0.000 0.000 0.000

---

Going through the records in order, we get total DFT energy (no corrections) values of -3.48; -4.47; -3.06; -4.10; -3.68; -3.78 eV/atom.
Going through the records in order, we get size of the total moment values of 0.000; 0.000; 0.320; 0.000; 0.000; 0.000 μB per atom.
Going through the records in order, we get V values of 33.9; 30.7; 37.8; 26.6; 30.4; 26.8 A^3/atom.